# 1
Compound: CaGa6Pd3
Source: Alexandria via LeMat-Bulk
Functional: GGA-PBE
Structure: optimized geometry

As for the calculated volume: 17.84 A^3/atom. Its mass density is 7.240 g cm⁻³. The magnetic moment is 0.0 μB/cell. The raw total energy is -4.069 eV per atom. As for the calculated formation energy: -477 kJ/mol of formula units.

The space group is P2_1/c (No. 14) and the conventional cell measures 7.090, 6.852 and 8.319 Å, with angles of 90.00, 118.03 and 90.00 degrees. The distinct sites, in fractional coordinates, are Ca at (0.000, 0.000, 0.000), Ga at (0.137, 0.029, 0.678), Ga at (0.283, 0.681, 0.881), Ga at (0.457, 0.197, 0.257), Pd at (0.204, 0.173, 0.405) and Pd at (0.500, 0.000, 0.000).

***

# 2
Compound: CaGa11Pd
Source: Alexandria via LeMat-Bulk
Functional: GGA-PBE
Structure: optimized geometry

As for the calculated volume: 19.15 A^3/atom. Its mass density is 6.093 g cm⁻³. The magnetic moment is 0.0 μB/cell. The raw total energy is -3.301 eV per atom. As for the calculated formation energy: -233 kJ/mol of formula units.

The space group is C2/m (No. 12) and the conventional cell measures 5.099, 12.408 and 8.262 Å, with angles of 90.00, 107.72 and 90.00 degrees. The distinct sites, in fractional coordinates, are Ca at (0.000, 0.000, 0.000), Ga at (0.000, 0.500, 0.500), Ga at (0.111, 0.392, 0.227), Ga at (0.167, 0.178, 0.362), Ga at (0.250, 0.250, 0.000) and Pd at (0.000, 0.000, 0.500).

***

# 3
Compound: CaGa2Pd
Source: Alexandria via LeMat-Bulk
Functional: GGA-PBE
Structure: optimized geometry

As for the calculated volume: 24.13 A^3/atom. Its mass density is 4.920 g cm⁻³. The magnetic moment is 0.0 μB/cell. The raw total energy is -3.691 eV per atom. As for the calculated formation energy: -146 kJ/mol of formula units.

The space group is I-42d (No. 122) and the conventional cell measures 4.657, 4.657 and 17.799 Å, with angles of 90.00, 90.00 and 90.00 degrees. The distinct sites, in fractional coordinates, are Ca at (0.000, 0.000, 0.000), Ga at (0.077, 0.250, 0.625) and Pd at (0.000, 0.000, 0.500).

***

# 4
Compound: Ca2Ga2Pd
Source: Alexandria via LeMat-Bulk
Functional: GGA-PBE
Structure: optimized geometry

As for the calculated volume: 24.25 A^3/atom. Its mass density is 4.466 g cm⁻³. The magnetic moment is 0.0 μB/cell. The raw total energy is -3.405 eV per atom. As for the calculated formation energy: -171 kJ/mol of formula units.

The space group is I4/mmm (No. 139) and the conventional cell measures 3.697, 3.697 and 17.736 Å, with angles of 90.00, 90.00 and 90.00 degrees. The distinct sites, in fractional coordinates, are Ca at (0.000, 0.000, 0.096), Ga at (0.000, 0.500, 0.250) and Pd at (0.000, 0.000, 0.500).

***

# 5
Compound: CaPmGa2Pd5
Source: Alexandria via LeMat-Bulk
Functional: GGA-PBE
Structure: optimized geometry

As for the calculated volume: 18.77 A^3/atom. Its mass density is 8.422 g cm⁻³. The magnetic moment is 0.0 μB/cell. The raw total energy is -5.086 eV per atom. As for the calculated formation energy: -676 kJ/mol of formula units.

The space group is P4/mmm (No. 123) and the conventional cell measures 4.250, 4.250 and 9.351 Å, with angles of 90.00, 90.00 and 90.00 degrees. The distinct sites, in fractional coordinates, are Ca at (0.000, 0.000, 0.000), Pm at (0.000, 0.000, 0.500), Ga at (0.500, 0.500, 0.136), Pd at (0.000, 0.500, 0.276) and Pd at (0.500, 0.500, 0.500).

***

# 6
Compound: Ca2Pm2GaPd4
Source: Alexandria via LeMat-Bulk
Functional: GGA-PBE
Structure: optimized geometry

As for the calculated volume: 23.91 A^3/atom. Its mass density is 6.680 g cm⁻³. The magnetic moment is 0.0 μB/cell. The raw total energy is -4.593 eV per atom. As for the calculated formation energy: -390 kJ/mol of formula units.

The space group is I4/mmm (No. 139) and the conventional cell measures 7.018, 7.018 and 8.736 Å, with angles of 90.00, 90.00 and 90.00 degrees. The distinct sites, in fractional coordinates, are Ca at (0.000, 0.500, 0.250), Pm at (0.000, 0.000, 0.180), Ga at (0.000, 0.000, 0.500) and Pd at (0.249, 0.249, 0.000).

***

# 7
Compound: CaPrGa2Pd5
Source: Alexandria via LeMat-Bulk
Functional: GGA-PBE
Structure: optimized geometry

As for the calculated volume: 19.00 A^3/atom. Its mass density is 8.278 g cm⁻³. The magnetic moment is 0.0 μB/cell. The raw total energy is -5.068 eV per atom. As for the calculated formation energy: -657 kJ/mol of formula units.

The space group is P4/mmm (No. 123) and the conventional cell measures 4.270, 4.270 and 9.380 Å, with angles of 90.00, 90.00 and 90.00 degrees. The distinct sites, in fractional coordinates, are Ca at (0.000, 0.000, 0.000), Pr at (0.000, 0.000, 0.500), Ga at (0.500, 0.500, 0.136), Pd at (0.000, 0.500, 0.274) and Pd at (0.500, 0.500, 0.500).

***

# 8
Compound: CaPr2Ga4Pd3
Source: Alexandria via LeMat-Bulk
Functional: GGA-PBE
Structure: optimized geometry

As for the calculated volume: 21.53 A^3/atom. Its mass density is 7.097 g cm⁻³. The magnetic moment is 0.0 μB/cell. The raw total energy is -4.601 eV per atom. As for the calculated formation energy: -653 kJ/mol of formula units.

The space group is P-4m2 (No. 115) and the conventional cell measures 4.324, 4.324 and 11.511 Å, with angles of 90.00, 90.00 and 90.00 degrees. The distinct sites, in fractional coordinates, are Ca at (0.000, 0.000, 0.000), Pr at (0.000, 0.500, 0.722), Ga at (0.000, 0.000, 0.500), Ga at (0.000, 0.500, 0.168), Ga at (0.500, 0.500, 0.500), Pd at (0.000, 0.500, 0.382) and Pd at (0.500, 0.500, 0.000).

***

# 9
Compound: CaGa4PdPt2
Source: Alexandria via LeMat-Bulk
Functional: GGA-PBE
Structure: optimized geometry

As for the calculated volume: 18.01 A^3/atom. Its mass density is 9.400 g cm⁻³. The magnetic moment is 0.0 μB/cell. The raw total energy is -4.572 eV per atom. As for the calculated formation energy: -501 kJ/mol of formula units.

The space group is R-3m (No. 166, hexagonal axes) and the conventional cell measures 4.2955, 4.2955 and 27.0497 Å, with angles of 90.00, 90.00 and 120.00 degrees. The distinct sites, in fractional coordinates, are Ca at (0.0000, 0.0000, 0.0000), Ga at (0.0000, 0.0000, 0.1317), Ga at (0.0000, 0.0000, 0.4003), Pd at (0.0000, 0.0000, 0.5000) and Pt at (0.0000, 0.0000, 0.2379).

***

# 10
Compound: CaGa4Pd2Pt
Source: Alexandria via LeMat-Bulk
Functional: GGA-PBE
Structure: optimized geometry

As for the calculated volume: 18.13 A^3/atom. Its mass density is 8.323 g cm⁻³. The magnetic moment is 0.0 μB/cell. The raw total energy is -4.413 eV per atom. As for the calculated formation energy: -460 kJ/mol of formula units.

The space group is R-3m (No. 166, hexagonal axes) and the conventional cell measures 4.2978, 4.2978 and 27.1985 Å, with angles of 90.00, 90.00 and 120.00 degrees. The distinct sites, in fractional coordinates, are Ca at (0.0000, 0.0000, 0.0000), Ga at (0.0000, 0.0000, 0.1327), Ga at (0.0000, 0.0000, 0.4006), Pd at (0.0000, 0.0000, 0.2399) and Pt at (0.0000, 0.0000, 0.5000).

***

# 11
Compound: Ca2Ga2Pd5Pt
Source: Alexandria via LeMat-Bulk
Functional: GGA-PBE
Structure: optimized geometry

As for the calculated volume: 17.77 A^3/atom. Its mass density is 8.848 g cm⁻³. The magnetic moment is 0.0 μB/cell. The raw total energy is -4.841 eV per atom. As for the calculated formation energy: -613 kJ/mol of formula units.

The space group is P4/mbm (No. 127) and the conventional cell measures 9.709, 9.709 and 3.770 Å, with angles of 90.00, 90.00 and 90.00 degrees. The distinct sites, in fractional coordinates, are Ca at (0.177, 0.323, 0.000), Ga at (0.122, 0.622, 0.000), Pd at (0.000, 0.500, 0.500), Pd at (0.066, 0.794, 0.500) and Pt at (0.000, 0.000, 0.000).

***

# 12
Compound: Ca2Ga3PdPt4
Source: Alexandria via LeMat-Bulk
Functional: GGA-PBE
Structure: optimized geometry

As for the calculated volume: 19.03 A^3/atom. Its mass density is 10.261 g cm⁻³. The magnetic moment is 0.0 μB/cell. The raw total energy is -5.068 eV per atom. As for the calculated formation energy: -795 kJ/mol of formula units.

The space group is P-4m2 (No. 115) and the conventional cell measures 4.111, 4.111 and 11.261 Å, with angles of 90.00, 90.00 and 90.00 degrees. The distinct sites, in fractional coordinates, are Ca at (0.000, 0.500, 0.242), Ga at (0.000, 0.000, 0.000), Ga at (0.000, 0.500, 0.632), Pd at (0.500, 0.500, 0.000), Pt at (0.000, 0.000, 0.500), Pt at (0.000, 0.500, 0.848) and Pt at (0.500, 0.500, 0.500).